[1]
DFT (PBE) results for a geometry-optimized CsAsP2Cl structure.

Output
uncorrected formation energy	0.036	eV/atom
space group	P4/mmm (123)
crystal system	tetragonal
raw total energy	-3.60	eV/atom

abc: 4.7170 4.7170 7.2457
angles: 90.00 90.00 90.00
With the nearest neighbours (Å) after each atom.
Positions (direct):
Cs 0.5000 0.5000 0.5000  4 Cl 3.34
Cl 0.0000 0.0000 0.5000  4 Cs 3.34, 2 As 3.62
P 0.0000 0.5000 0.0000  2 As 2.36
As 0.0000 0.0000 0.0000  4 P 2.36
P 0.5000 0.0000 0.0000  2 As 2.36

[2]
DFT (PBE) results for a geometry-optimized CsAsPb2Cl8 structure.

Output
uncorrected formation energy	-1.086	eV/atom
space group	P-1 (2)
crystal system	triclinic
raw total energy	-3.39	eV/atom

abc: 6.7653 6.8864 9.2038
angles: 76.68 82.79 81.56
With the nearest neighbours (Å) after each atom.
Positions (direct):
Cl 0.2222 0.8100 0.8256  1 As 2.52
Pb 0.4714 0.4444 0.7508  5 Cl 2.74-2.99
Pb 0.5286 0.5556 0.2492  5 Cl 2.74-2.99
Cl 0.1208 0.7270 0.2222  1 As 2.57, 1 Pb 2.85
Cl 0.5954 0.7309 0.4746  2 Pb 2.74-2.95
Cs 0.0000 0.0000 0.5000  6 Cl 3.42-3.58
As 0.0000 0.0000 0.0000  6 Cl 2.51-2.57
Cl 0.7778 0.1900 0.1744  1 As 2.52
Cl 0.4046 0.2691 0.5254  2 Pb 2.74-2.95
Cl 0.2765 0.2001 0.0120  1 As 2.51
Cl 0.8792 0.2730 0.7778  1 As 2.57, 1 Pb 2.85
Cl 0.7235 0.7999 0.9880  1 As 2.51

[3]
DFT (PBE) results for a geometry-optimized CsAsPdCl6 structure.

Output
uncorrected formation energy	-0.848	eV/atom
space group	P312 (149)
crystal system	trigonal
raw total energy	-3.27	eV/atom

abc: 6.6328 6.6328 7.8645
angles: 90.00 90.00 60.00
With the nearest neighbours (Å) after each atom.
Positions (direct):
Cl 0.6268 0.3712 0.6828  1 As 2.53, 1 Pd 2.55
Cl 0.0020 0.3712 0.3172  1 As 2.53, 1 Pd 2.55
Cl 0.3712 0.0020 0.6828  1 As 2.53, 1 Pd 2.55
Pd 0.6666 0.6667 0.5000  6 Cl 2.55
Cl 0.6268 0.0020 0.3172  1 As 2.53, 1 Pd 2.55
Cs 0.0000 0.0000 0.0000  6 Cl 3.51
Cl 0.3712 0.6268 0.3172  1 As 2.53, 1 Pd 2.55
Cl 0.0020 0.6268 0.6828  1 As 2.53, 1 Pd 2.55
As 0.3333 0.3333 0.5000  6 Cl 2.53

[4]
DFT (PBE) results for a geometry-optimized Cs2RbAsCl6 structure.

Output
uncorrected formation energy	-1.484	eV/atom
space group	R-3m (166)
crystal system	trigonal
raw total energy	-3.32	eV/atom

abc: 7.6149 7.6149 16.1360
angles: 76.35 76.35 60.00
With the nearest neighbours (Å) after each atom.
Positions (direct):
Cs 0.8592 0.8592 0.4225  9 Cl 3.55-3.82
Cl 0.7195 0.1878 0.9049  1 As 2.53
As 0.5000 0.5000 0.5000  6 Cl 2.53
As 0.0000 0.0000 0.0000  6 Cl 2.53
Cl 0.6245 0.6245 0.5950  1 As 2.53
Cl 0.8440 0.3755 0.4050  1 As 2.53
Cl 0.1878 0.7195 0.9049  1 As 2.53
Cs 0.1408 0.1408 0.5775  9 Cl 3.55-3.82
Cl 0.1878 0.1878 0.9049  1 As 2.53
Cs 0.3076 0.3076 0.0773  9 Cl 3.55-3.82
Cl 0.2805 0.8122 0.0951  1 As 2.53
Cs 0.6924 0.6924 0.9227  9 Cl 3.55-3.82
Rb 0.4136 0.4136 0.7593  6 Cl 3.25-3.28
Cl 0.3755 0.8440 0.4050  1 As 2.53
Cl 0.8122 0.8122 0.0951  1 As 2.53
Cl 0.3755 0.3755 0.4050  1 As 2.53
Cl 0.8122 0.2805 0.0951  1 As 2.53
Cl 0.1560 0.6245 0.5950  1 As 2.53
Rb 0.5864 0.5864 0.2407  6 Cl 3.25-3.28
Cl 0.6245 0.1560 0.5950  1 As 2.53

[5]
DFT (PBE) results for a geometry-optimized Cs2RbAsCl8 structure.

Output
uncorrected formation energy	-1.193	eV/atom
space group	P-1 (2)
crystal system	triclinic
raw total energy	-3.03	eV/atom

abc: 5.9473 8.4941 9.4075
angles: 91.17 79.37 114.24
With the nearest neighbours (Å) after each atom.
Positions (direct):
Rb 0.0000 0.0000 0.5000  6 Cl 3.46-3.57
Cl 0.1776 0.8855 0.8113  1 As 2.30
Cl 0.3728 0.7134 0.5806  1 Cl 2.92
Cs 0.3070 0.5192 0.2644  8 Cl 3.38-3.74
Cl 0.6272 0.2866 0.4194  1 Cl 2.92
Cl 0.8224 0.1145 0.1887  1 As 2.30
As 0.0000 0.0000 0.0000  6 Cl 2.30-2.39
Cl 0.9841 0.7878 0.1688  1 As 2.39
Cl 0.3939 0.1856 0.0396  1 As 2.32
Cl 0.6061 0.8144 0.9604  1 As 2.32
Cs 0.6930 0.4808 0.7356  8 Cl 3.38-3.74
Cl 0.0159 0.2122 0.8312  1 As 2.39

[6]
DFT (PBE) results for a geometry-optimized Cs2RbAsCl6 structure.

Output
uncorrected formation energy	-1.480	eV/atom
space group	Fm-3m (225)
crystal system	cubic
raw total energy	-3.32	eV/atom

abc: 7.9916 7.9916 7.9916
angles: 60.00 60.00 60.00
With the nearest neighbours (Å) after each atom.
Positions (direct):
Cl 0.2227 0.7773 0.7773  1 As 2.52
Cl 0.7773 0.7773 0.2227  1 As 2.52
Rb 0.5000 0.5000 0.5000  6 Cl 3.13
Cl 0.7773 0.2227 0.2227  1 As 2.52
Cl 0.2227 0.7773 0.2227  1 As 2.52
Cs 0.2500 0.2500 0.2500  12 Cl 4.01
Cl 0.7773 0.2227 0.7773  1 As 2.52
Cs 0.7500 0.7500 0.7500  12 Cl 4.01
As 0.0000 0.0000 0.0000  6 Cl 2.52
Cl 0.2227 0.2227 0.7773  1 As 2.52

[7]
DFT (PBE) results for a geometry-optimized Cs2AsSCl6 structure.

Output
uncorrected formation energy	-0.958	eV/atom
space group	I4/mmm (139)
crystal system	tetragonal
raw total energy	-3.11	eV/atom

abc: 7.0965 7.0965 7.9125
angles: 63.36 63.36 90.00
With the nearest neighbours (Å) after each atom.
Positions (direct):
Cl 0.2029 0.2029 0.5942  1 As 2.48
Cs 0.2500 0.7500 0.5000  12 Cl 3.59-3.96
Cl 0.7479 0.7479 0.0000  1 S 2.49, 1 As 2.53
Cl 0.7971 0.7971 0.4058  1 As 2.48
Cs 0.7500 0.2500 0.5000  12 Cl 3.59-3.96
S 0.5000 0.5000 0.0000  4 Cl 2.49
Cl 0.7479 0.2521 0.0000  1 S 2.49, 1 As 2.53
As 0.0000 0.0000 0.0000  6 Cl 2.48-2.53
Cl 0.2521 0.2521 0.0000  1 S 2.49, 1 As 2.53
Cl 0.2521 0.7479 0.0000  1 S 2.49, 1 As 2.53

[8]
DFT (PBE) results for a geometry-optimized Cs2SbAsCl6 structure.

Output
uncorrected formation energy	-1.091	eV/atom
space group	I4/mmm (139)
crystal system	tetragonal
raw total energy	-3.25	eV/atom

abc: 7.6410 7.6410 7.6916
angles: 60.22 60.22 90.00
With the nearest neighbours (Å) after each atom.
Positions (direct):
Cs 0.2500 0.7500 0.5000  12 Cl 3.82-3.85
Cl 0.7453 0.7453 0.0000  1 As 2.65, 1 Sb 2.75
Cl 0.2547 0.7453 0.0000  1 As 2.65, 1 Sb 2.75
Cs 0.7500 0.2500 0.5000  12 Cl 3.82-3.85
As 0.5000 0.5000 0.0000  6 Cl 2.65-2.71
Cl 0.2523 0.2523 0.4954  1 As 2.71, 1 Sb 2.76
Cl 0.7453 0.2547 0.0000  1 As 2.65, 1 Sb 2.75
Cl 0.2547 0.2547 0.0000  1 As 2.65, 1 Sb 2.75
Cl 0.7477 0.7477 0.5046  1 As 2.71, 1 Sb 2.76
Sb 0.0000 0.0000 0.0000  6 Cl 2.75-2.76

[9]
DFT (PBE) results for a geometry-optimized Cs5AsSe4Cl2 structure.

Output
uncorrected formation energy	-1.182	eV/atom
space group	Amm2 (38)
crystal system	orthorhombic
raw total energy	-3.39	eV/atom

abc: 8.5695 7.3579 10.6215
angles: 90.00 90.00 125.62
With the nearest neighbours (Å) after each atom.
Positions (direct):
Cs 0.4153 0.0000 0.5000  4 Cl 3.52-3.84, 2 Se 3.59
Cs 0.7273 0.6111 0.2444  2 Cl 3.51-3.54, 3 Se 3.55-3.88
Cl 0.4112 0.4760 0.5000  6 Cs 3.51-3.84
Cs 0.1162 0.3889 0.2444  2 Cl 3.51-3.54, 3 Se 3.55-3.88
Se 0.0715 0.6853 0.0000  1 As 2.35
Se 0.5533 0.0000 0.8190  1 As 2.36
Cs 0.7273 0.6111 0.7556  2 Cl 3.51-3.54, 3 Se 3.55-3.88
Cs 0.1162 0.3889 0.7556  2 Cl 3.51-3.54, 3 Se 3.55-3.88
As 0.3927 0.0000 0.0000  4 Se 2.35-2.36
Cl 0.9352 0.5240 0.5000  6 Cs 3.51-3.84
Se 0.3862 0.3147 0.0000  1 As 2.35
Se 0.5533 0.0000 0.1810  1 As 2.36

[10]
DFT (PBE) results for a geometry-optimized CsAs2SeCl structure.

Output
uncorrected formation energy	0.497	eV/atom
space group	P4/mmm (123)
crystal system	tetragonal
raw total energy	-2.60	eV/atom

abc: 5.2380 5.2380 5.5372
angles: 90.00 90.00 90.00
With the nearest neighbours (Å) after each atom.
Positions (direct):
Cl 0.0000 0.0000 0.0000  4 As 2.62, 2 Se 2.77
As 0.5000 0.0000 0.0000  2 Cl 2.62
Cs 0.5000 0.5000 0.5000  4 Se 3.70, 8 As 3.81
Se 0.0000 0.0000 0.5000  2 Cl 2.77
As 0.0000 0.5000 0.0000  2 Cl 2.62

[11]
DFT (PBE) results for a geometry-optimized CsAsSe2Cl structure.

Output
uncorrected formation energy	0.342	eV/atom
space group	P4/mmm (123)
crystal system	tetragonal
raw total energy	-2.52	eV/atom

abc: 5.5818 5.5818 5.0752
angles: 90.00 90.00 90.00
With the nearest neighbours (Å) after each atom.
Positions (direct):
Cl 0.0000 0.0000 0.0000  2 As 2.54, 4 Se 2.79
As 0.0000 0.0000 0.5000  2 Cl 2.54
Cs 0.5000 0.5000 0.5000  8 Se 3.77, 4 As 3.95
Se 0.5000 0.0000 0.0000  2 Cl 2.79
Se 0.0000 0.5000 0.0000  2 Cl 2.79

Q: raw total energy of number 1 (CsAsP2Cl)?
A: -3.60 eV/atom

Q: Which value of uncorrected formation energy does entry 7 give?
A: -0.958 eV/atom